# LiTaAl2S | the Alexandria database | PBE | relaxed
# Total magnetization   0.00 μB per cell
# Uncorrected formation energy   0.500 eV per atom
# Mass density   4.53 g/cm3
data_LiTaAl2S
_chemical_formula_sum 'Li1 Ta1 Al2 S1'
_space_group_name_H-M_alt 'P 4/m m m'
_space_group_IT_number 123
_space_group_name_Hall '-P 4 2'
_cell_length_a 4.7052
_cell_length_b 4.7052
_cell_length_c 4.5365
_cell_angle_alpha 90.00
_cell_angle_beta 90.00
_cell_angle_gamma 90.00
loop_
_atom_site_label
_atom_site_fract_x
_atom_site_fract_y
_atom_site_fract_z
Li1 0.0000 0.0000 0.0000
Ta1 0.5000 0.5000 0.0000
Al1 0.0000 0.5000 0.5000
S1 0.5000 0.5000 0.5000